Entry 1:
Below is an optimized crystal structure of PaZnIn, with properties calculated at the PBE level.

a b c (Å): 8.194 10.770 6.579
angles (deg): 27.50 34.84 30.90
Positions (direct):
Pa: 0.079 0.075 0.379
Pa: 0.762 0.680 0.932
Zn: 0.784 0.676 0.410
Zn: 0.056 0.080 0.901
In: 0.444 0.309 0.999
In: 0.396 0.447 0.312

Calculated values
The energy is -27.01 eV for the cell shown. The total magnetization comes out at 0.0 μB per cell. The value obtained for the formation energy is 0.17 kJ/mol of atoms.

Entry 2:
Below is an optimized crystal structure of KAlPb, with properties calculated at the PBE level.

a b c (Å): 4.920 15.792 9.142
angles (deg): 30.27 74.39 90.00
Positions (direct):
Pb: 0.011 0.511 0.978
Pb: 0.419 0.241 0.161
Pb: 0.419 0.598 0.161
K: 0.610 0.242 0.781
K: 0.610 0.977 0.781
K: 0.812 0.812 0.376
Al: 0.296 0.296 0.408
Al: 0.131 0.447 0.738
Al: 0.131 0.815 0.738

Calculated values
The energy is -24.62 eV for the cell shown. The total magnetization comes out at 0.0 μB per cell. The value obtained for the formation energy is 11.01 kJ/mol of atoms.

Entry 3:
Below is an optimized crystal structure of Ba8PSe3Br4, with properties calculated at the PBE level.

a b c (Å): 9.414 9.489 9.414
angles (deg): 119.74 120.00 90.00
Positions (direct):
Ba: 0.237 0.724 0.988
Ba: 0.237 0.724 0.474
Ba: 0.257 0.271 0.514
Ba: 0.751 0.724 0.988
Ba: 0.249 0.276 0.012
Ba: 0.743 0.729 0.486
Ba: 0.763 0.276 0.526
Ba: 0.763 0.276 0.012
P: 0.000 0.500 0.000
Se: 0.500 0.500 0.000
Se: 0.500 0.500 0.500
Se: 0.000 0.500 0.500
Br: 0.500 0.000 0.000
Br: 0.500 0.000 0.500
Br: 0.000 0.000 0.000
Br: 0.000 0.000 0.500

Calculated values
For the formation energy from raw total energies, the calculation gives -1.79 eV/atom. The energy is -66.51 eV for the cell shown. The total magnetization comes out at 0.0 μB per cell.

Entry 4:
Below is an optimized crystal structure of ZrTiSi, with properties calculated at the PBE level.

a b c (Å): 3.425 3.425 5.103
angles (deg): 109.61 109.61 90.00
Positions (direct):
Si: 0.296 0.296 0.592
Zr: 0.622 0.622 0.243
Ti: 0.932 0.932 0.865

Calculated values
For the formation energy from raw total energies, the calculation gives -0.45 eV/atom. The energy is -23.23 eV for the cell shown. The total magnetization comes out at 0.0 μB per cell.